No. 1
Entry from Alexandria via LeMat-Bulk: a relaxed LiBePd3 crystal (PBEsol).

Geometry as POSCAR:
```
LiBePd3
1.0
4.180 0.000 0.000
0.000 4.180 0.000
0.000 0.000 4.180
Li Pd Be
1 3 1
Cartesian
2.090 2.090 2.090
0.000 2.090 0.000
0.000 0.000 2.090
2.090 0.000 0.000
0.000 0.000 0.000
```

Output
**Magnetization**: 0.00 μB per formula unit
**Energy of formation**: -0.15 eV/atom
**SG**: Pm-3m (221)

No. 2
Entry from Alexandria via LeMat-Bulk: a relaxed CrFe3 crystal (PBEsol).

Geometry as POSCAR:
```
CrFe3
1.0
-1.992 -0.136 -3.342
-3.489 -1.140 2.126
-1.214 4.708 0.533
Fe Cr
6 2
Cartesian
-4.820 2.512 0.504
-2.946 1.589 1.692
-4.213 0.156 0.238
-0.879 0.990 0.484
-1.486 3.342 0.750
-2.146 -0.444 -0.970
-2.311 -0.756 1.409
-2.781 1.901 -0.687
```

Output
**Magnetization**: 0.07 μB per formula unit
**Energy of formation**: 0.01 eV/atom
**SG**: Pmmn (59)

No. 3
Entry from Alexandria via LeMat-Bulk: a relaxed Re4As6S3 crystal (PBEsol).

Geometry as POSCAR:
```
Re4As6S3
1.0
-1.742 0.055 6.749
-6.715 0.012 1.866
-2.816 -5.686 2.919
S As Re
3 6 4
Cartesian
-7.131 -3.554 7.295
-3.571 -3.560 6.306
-6.207 -3.583 3.718
-1.620 -0.821 1.658
-2.361 -0.798 4.527
-4.475 -0.816 2.451
-8.457 0.062 8.615
-5.638 -0.385 5.747
-2.817 -3.247 2.899
-5.207 -2.257 7.310
-4.512 -2.279 4.616
-7.192 -2.274 5.361
-5.636 -4.518 5.781
```

Output
**Magnetization**: 0.00 μB per formula unit
**E_form (uncorrected)**: -0.3173 eV per atom
**SG**: R3m (160)

No. 4
Entry from Alexandria via LeMat-Bulk: a relaxed Li3CoGe crystal (PBEsol).

Geometry as POSCAR:
```
Li3CoGe
1.0
4.606 0.000 0.000
0.000 4.606 0.000
0.000 0.000 4.606
Li Ge Co
3 1 1
Cartesian
0.000 2.303 0.000
0.000 0.000 2.303
2.303 0.000 0.000
0.000 0.000 0.000
2.303 2.303 2.303
```

Output
**Magnetization**: 2.55 μB per formula unit
**Energy of formation**: 0.75 eV/atom
**SG**: Pm-3m (221)

No. 5
Entry from Alexandria via LeMat-Bulk: a relaxed SrPI3 crystal (PBEsol).

Geometry as POSCAR:
```
SrPI3
1.0
-6.053 -0.769 1.476
1.633 -1.664 5.829
-0.323 6.004 1.804
I P Sr
3 1 1
Cartesian
-3.027 -0.385 0.738
-0.161 3.002 0.902
0.816 -0.832 2.914
-2.372 1.786 4.555
0.000 0.000 0.000
```

Output
**Magnetization**: 2.07 μB per formula unit
**E_form (uncorrected)**: -0.0296 eV per atom
**SG**: Pm-3m (221)

No. 6
Entry from Alexandria via LeMat-Bulk: a relaxed ZrCo4Br crystal (PBEsol).

Geometry as POSCAR:
```
ZrCo4Br
1.0
4.844 0.000 0.000
2.422 4.195 0.000
2.422 1.398 3.955
Co Zr Br
4 1 1
Cartesian
4.844 1.408 2.468
3.642 3.491 2.468
4.844 2.797 0.505
6.046 3.491 2.468
2.422 1.398 0.989
0.000 0.000 0.000
```

Output
**Magnetization**: 4.99 μB per formula unit
**E_form (uncorrected)**: 0.1870 eV per atom
**SG**: F-43m (216)

No. 7
Entry from Alexandria via LeMat-Bulk: a relaxed Ce7ZrO16 crystal (PBEsol).

Geometry as POSCAR:
```
Ce7ZrO16
1.0
-3.183 -3.896 1.830
1.609 -4.184 -6.108
5.876 -3.081 3.658
Ce O Zr
7 16 1
Cartesian
0.257 -3.742 0.310
3.742 -3.633 -1.225
2.938 -1.541 1.829
3.231 -5.302 2.162
0.804 -2.092 -3.054
4.045 -7.420 -0.930
1.071 -5.860 -2.782
2.048 -5.290 4.163
-0.995 -3.695 2.269
1.462 -3.832 -1.689
1.763 -7.607 -1.394
-2.023 -3.960 -0.086
-1.190 -6.127 -3.249
0.645 -1.687 1.326
2.840 -7.329 1.069
0.952 -5.496 1.687
-0.124 -5.775 -0.776
3.688 -3.283 3.220
3.350 -5.665 -2.307
2.538 -3.554 0.775
-0.384 -1.953 -1.029
4.426 -5.387 0.157
0.449 -4.119 -4.192
0.000 0.000 0.000
```

Output
**Magnetization**: 0.00 μB per formula unit
**E_form (uncorrected)**: -3.4625 eV per atom
**SG**: P4/mmm (123)

No. 8
Entry from Alexandria via LeMat-Bulk: a relaxed KBa2Ta crystal (PBEsol).

Geometry as POSCAR:
```
KBa2Ta
1.0
-1.977 1.196 3.430
3.429 -0.676 2.212
2.865 9.311 -1.596
Ba K Ta
2 1 1
Cartesian
1.278 2.055 2.513
2.649 8.608 -1.475
1.605 5.215 -0.894
3.083 7.918 1.509
```

Output
**Magnetization**: 0.00 μB per formula unit
**Excess energy over the best structure of this formula in the dataset**: 297 meV/atom
**Energy of formation**: 1.17 eV/atom
**SG**: P4mm (99)

No. 9
Entry from Alexandria via LeMat-Bulk: a relaxed CaAl2B2O7 crystal (PBEsol).

Geometry as POSCAR:
```
CaAl2B2O7
1.0
-4.809 0.422 -0.164
-2.756 -3.940 -0.468
-3.171 -2.558 15.260
O B Al Ca
14 4 4 2
Cartesian
-3.728 -2.443 1.090
-5.760 -3.679 0.894
-4.911 -4.772 13.524
-2.684 -1.519 3.657
-5.979 -1.170 5.990
-7.272 -2.873 8.714
-8.052 -4.557 10.971
-5.824 -1.303 1.105
-6.479 -4.351 5.684
-7.007 -3.632 13.538
-4.757 -4.906 8.638
-4.257 -1.724 8.944
-3.463 -3.202 5.914
-4.976 -2.397 13.734
-2.909 -1.999 9.018
-7.827 -4.076 5.610
-5.630 -3.597 13.556
-5.106 -2.479 1.072
-2.614 -1.369 1.982
-8.122 -4.707 12.646
-7.982 -4.407 9.296
-2.754 -1.669 5.332
0.000 0.000 0.000
-5.368 -3.038 7.314
```

Output
**Magnetization**: 0.10 μB per formula unit
**E_form (uncorrected)**: -2.8517 eV per atom
**SG**: R-3c (167)

No. 10
Entry from Alexandria via LeMat-Bulk: a relaxed SrInI3 crystal (PBEsol).

Geometry as POSCAR:
```
SrInI3
1.0
-3.813 -4.471 2.117
1.024 -3.329 -5.185
4.840 -2.818 2.766
Sr I In
1 3 1
Cartesian
0.000 0.000 0.000
-1.907 -2.236 1.059
0.512 -1.664 -2.593
2.420 -1.409 1.383
1.025 -5.309 -0.151
```

Output
**Magnetization**: 0.00 μB per formula unit
**E_form (uncorrected)**: -0.9553 eV per atom
**SG**: Pm-3m (221)

No. 11
Entry from Alexandria via LeMat-Bulk: a relaxed Pm2MgSe4 crystal (PBEsol).

Geometry as POSCAR:
```
Pm2MgSe4
1.0
-6.221 0.840 2.816
-3.230 -5.396 -5.527
2.598 -10.704 8.932
Mg Se Pm
4 16 8
Cartesian
-4.124 -10.260 9.257
-2.729 -5.000 -3.035
-3.425 -5.178 3.886
-3.429 -10.082 2.335
-3.990 -10.877 6.750
-4.408 -6.962 -3.170
-5.502 -5.497 2.380
-5.314 -1.473 1.374
-2.896 -12.343 1.199
-1.539 -13.787 4.847
-1.125 -5.558 2.914
-5.728 -9.702 3.308
-2.864 -4.383 -0.529
-2.445 -8.298 9.392
-0.167 -10.864 7.534
-1.351 -9.763 3.841
-3.958 -2.917 5.022
-2.888 -8.428 0.404
-3.965 -6.832 5.817
-6.686 -4.396 -1.313
-3.110 0.420 1.408
-0.284 -3.817 0.722
-4.914 -6.490 -0.304
-4.726 -2.278 -1.355
-1.939 -8.770 6.526
-0.316 -8.050 1.703
1.299 -5.352 4.466
-6.569 -11.443 5.499
```

Output
**Magnetization**: 0.00 μB per formula unit
**E_form (uncorrected)**: -1.6327 eV per atom
**Excess energy over the best structure of this formula in the dataset**: 39 meV/atom
**SG**: Pnma (62)

No. 12
Entry from Alexandria via LeMat-Bulk: a relaxed TcSb crystal (PBEsol).

Geometry as POSCAR:
```
TcSb
1.0
-1.210 -0.203 2.754
-1.620 -2.383 -0.887
6.332 -5.198 2.397
Sb Tc
2 2
Cartesian
0.393 -2.179 0.012
4.524 -4.312 3.319
2.938 -4.268 0.976
1.979 -2.222 2.355
```

Output
**Magnetization**: 0.00 μB per formula unit
**E_form (uncorrected)**: 0.0519 eV per atom
**Excess energy over the best structure of this formula in the dataset**: 0 meV/atom
**SG**: P4/nmm (129)

No. 13
Entry from Alexandria via LeMat-Bulk: a relaxed FeOsPt2 crystal (PBEsol).

Geometry as POSCAR:
```
FeOsPt2
1.0
-1.990 1.582 0.952
-2.465 -1.044 0.452
0.854 -1.803 8.656
Os Pt Fe
1 2 1
Cartesian
0.000 0.000 0.000
-2.717 -0.935 7.486
-0.884 -0.330 2.573
-1.800 -0.632 5.030
```

Output
**Magnetization**: 3.09 μB per formula unit
**Excess energy over the best structure of this formula in the dataset**: 47 meV/atom
**Energy of formation**: 0.06 eV/atom
**SG**: R-3m (166)

No. 14
Entry from Alexandria via LeMat-Bulk: a relaxed ScFe2BRh crystal (PBEsol).

Geometry as POSCAR:
```
ScFe2BRh
1.0
3.760 0.000 0.000
0.000 3.760 0.000
0.000 0.000 4.456
B Fe Sc Rh
1 2 1 1
Cartesian
0.000 0.000 0.000
0.000 1.880 0.000
1.880 0.000 0.000
0.000 0.000 2.228
1.880 1.880 2.228
```

Output
**Magnetization**: 3.14 μB per formula unit
**Energy of formation**: -0.07 eV/atom
**SG**: P4/mmm (123)

No. 15
Entry from Alexandria via LeMat-Bulk: a relaxed CrNi2Os crystal (PBEsol).

Geometry as POSCAR:
```
CrNi2Os
1.0
2.553 0.000 0.000
0.000 4.069 0.000
0.000 0.000 4.428
Ni Cr Os
2 1 1
Cartesian
0.000 0.000 0.134
0.000 2.035 3.212
1.277 2.035 0.940
1.277 0.000 2.356
```

Output
**Magnetization**: 0.00 μB per formula unit
**Excess energy over the best structure of this formula in the dataset**: 21 meV/atom
**Energy of formation**: 0.05 eV/atom
**SG**: Pmm2 (25)

No. 16
Entry from Alexandria via LeMat-Bulk: a relaxed Sc2AlIr crystal (PBEsol).

Geometry as POSCAR:
```
Sc2AlIr
1.0
-0.585 -4.314 -1.515
-1.251 -3.325 2.937
-4.234 -1.807 -0.233
Sc Al Ir
2 1 1
Cartesian
-1.518 -2.361 0.297
-4.553 -7.084 0.892
-3.035 -4.723 0.595
0.000 0.000 0.000
```

Output
**Magnetization**: 0.00 μB per formula unit
**Excess energy over the best structure of this formula in the dataset**: 10 meV/atom
**Energy of formation**: -0.72 eV/atom
**SG**: Fm-3m (225)

No. 17
Entry from Alexandria via LeMat-Bulk: a relaxed Li3Al crystal (PBEsol).

Geometry as POSCAR:
```
Li3Al
1.0
-3.746 -1.231 0.162
1.233 -3.628 0.946
1.100 3.450 3.564
Li Al
3 1
Cartesian
-1.257 -2.429 0.554
-1.952 -0.105 2.140
0.538 -1.303 2.532
0.000 0.000 0.000
```

Output
**Magnetization**: 0.00 μB per formula unit
**Energy of formation**: -0.07 eV/atom
**SG**: I4/mmm (139)

No. 18
Entry from Alexandria via LeMat-Bulk: a relaxed SiTe2AuBr crystal (PBEsol).

Geometry as POSCAR:
```
SiTe2AuBr
1.0
-2.136 3.692 -2.444
-3.667 -3.441 -1.993
-3.208 0.957 4.249
Te Au Br Si
2 1 1 1
Cartesian
-1.833 -1.721 -0.997
-1.604 0.478 2.125
-4.506 0.604 -0.094
0.000 0.000 0.000
-1.068 1.846 -1.222
```

Output
**Magnetization**: 0.00 μB per formula unit
**E_form (uncorrected)**: 1.2299 eV per atom
**SG**: P4/mmm (123)

No. 19
Entry from Alexandria via LeMat-Bulk: a relaxed NaLi3Si6 crystal (PBEsol).

Geometry as POSCAR:
```
NaLi3Si6
1.0
-1.615 1.072 -3.240
-2.970 -9.629 -1.704
-15.282 3.180 8.670
Si Na Li
24 4 12
Cartesian
-6.891 -6.824 -2.121
-10.650 2.744 2.917
-13.945 -6.927 3.562
-15.388 -1.762 5.989
-4.955 -4.143 0.000
-5.922 1.550 0.165
-16.106 -4.065 5.585
-1.718 -1.146 -0.623
-8.515 -5.815 1.222
-9.866 -1.199 3.422
-10.002 -4.178 0.305
-5.764 -0.729 -0.668
-13.452 0.707 3.640
-6.416 -6.085 0.086
-9.218 -8.121 0.810
-14.104 -4.649 4.394
-5.987 -2.256 1.139
-11.353 0.438 2.505
-12.977 1.446 5.848
-18.150 -4.231 4.349
-4.480 -3.616 -2.262
-3.762 -1.313 -1.859
-13.881 -3.122 2.588
-14.913 -1.234 3.726
-16.076 1.341 5.158
-3.792 -6.719 -1.432
-11.429 -5.117 2.906
-8.439 -0.261 0.821
-14.687 3.087 7.243
-2.047 -3.573 -1.261
-7.655 -3.637 -0.686
-16.400 -5.625 3.016
-12.213 -1.741 4.413
-17.821 -1.805 4.987
-5.181 -8.465 -3.517
-11.425 -2.348 1.620
-3.468 0.248 0.711
-11.119 -6.441 0.113
-8.748 1.064 3.613
-8.443 -3.030 2.107
```

Output
**Magnetization**: 0.00 μB per formula unit
**E_form (uncorrected)**: -0.1516 eV per atom
**SG**: Pnma (62)

No. 20
Entry from Alexandria via LeMat-Bulk: a relaxed Bi8Se9 crystal (PBEsol).

Geometry as POSCAR:
```
Bi8Se9
1.0
4.182 0.000 0.000
2.091 3.622 0.000
2.091 1.207 32.297
Se Bi
9 8
Cartesian
2.091 1.207 26.333
6.273 3.622 22.898
2.091 1.207 3.431
4.182 2.415 19.477
4.182 2.415 12.820
2.091 1.207 9.399
6.273 3.622 28.867
0.000 0.000 0.000
6.273 3.622 5.964
6.273 3.622 11.240
2.091 1.207 21.057
2.091 1.207 15.241
4.182 2.415 7.495
4.182 2.415 1.886
4.182 2.415 24.802
6.273 3.622 17.057
4.182 2.415 30.411
```

Output
**Magnetization**: 0.00 μB per formula unit
**E_form (uncorrected)**: -0.3371 eV per atom
**SG**: R-3m (166)

no.,N(E_F) (states/eV/f.u.)
1,1.23
2,5.63
3,2.63
4,5.88
5,9.71
6,8.20
7,0.00
8,5.95
9,0.00
10,0.00
11,0.00
12,0.80
13,3.81
14,3.78
15,4.28
16,1.39
17,1.66
18,2.53
19,0.30
20,0.97